1.
FeCo2Cu: relaxed, PBE-GGA.

Unit cell a=2.5096 b=2.5096 c=25.0887 alpha=90.00 beta=90.00 gamma=120.00
Closest atoms and distances in Å follow each position.
Fractional coordinates of all 12 atoms:
Fe (0.0000, 0.0000, 0.0000)  6 Fe 2.51, 6 Co 2.52
Fe (0.3333, 0.6667, 0.6667)  6 Fe 2.51, 6 Co 2.52
Fe (0.6667, 0.3333, 0.3333)  6 Fe 2.51, 6 Co 2.52
Co (0.0000, 0.0000, 0.2512)  6 Co 2.51, 3 Fe 2.52, 3 Cu 2.57
Co (0.0000, 0.0000, 0.4155)  6 Co 2.51, 3 Fe 2.52, 3 Cu 2.57
Co (0.3333, 0.6667, 0.0821)  6 Co 2.51, 3 Fe 2.52, 3 Cu 2.57
Co (0.3333, 0.6667, 0.9179)  6 Co 2.51, 3 Fe 2.52, 3 Cu 2.57
Co (0.6667, 0.3333, 0.5845)  6 Co 2.51, 3 Fe 2.52, 3 Cu 2.57
Co (0.6667, 0.3333, 0.7488)  6 Co 2.51, 3 Fe 2.52, 3 Cu 2.57
Cu (0.0000, 0.0000, 0.8334)  6 Cu 2.51, 6 Co 2.57
Cu (0.3333, 0.6667, 0.5001)  6 Cu 2.51, 6 Co 2.57
Cu (0.6667, 0.3333, 0.1667)  6 Cu 2.51, 6 Co 2.57

Space-group type: R3m
Density (g cm⁻³): 8.64
Energy of formation from the pure elements (meV/atom): 105


2.
Hf3VTe8: relaxed, PBE-GGA.

Unit cell a=7.7860 b=7.7860 c=8.8201 alpha=116.89 beta=116.89 gamma=59.91
Closest atoms and distances in Å follow each position.
Fractional coordinates of all 12 atoms:
Hf (0.0000, 0.0000, 0.0000)  6 Te 2.88-2.89
Hf (0.0000, 0.5000, 0.0000)  6 Te 2.88-2.89
Hf (0.5000, 0.0000, 0.0000)  6 Te 2.88-2.89
V (0.5000, 0.5000, 0.0000)  6 Te 2.79
Te (0.2490, 0.2490, 0.2418)  3 Hf 2.89
Te (0.2567, 0.7408, 0.2332)  1 V 2.79, 2 Hf 2.88
Te (0.2592, 0.2592, 0.7668)  1 V 2.79, 2 Hf 2.88
Te (0.2592, 0.7433, 0.7668)  1 V 2.79, 2 Hf 2.88
Te (0.7408, 0.2567, 0.2332)  1 V 2.79, 2 Hf 2.88
Te (0.7408, 0.7408, 0.2332)  1 V 2.79, 2 Hf 2.88
Te (0.7433, 0.2592, 0.7668)  1 V 2.79, 2 Hf 2.88
Te (0.7510, 0.7510, 0.7582)  3 Hf 2.89

Space-group type: C2/m
Density (g cm⁻³): 6.76
Formation energy (no corrections) (kJ/mol of formula units): -785


3.
HoTm5In4: relaxed, PBE-GGA.

Unit cell a=3.5302 b=3.5302 c=21.4481 alpha=90.00 beta=90.00 gamma=90.00
Closest atoms and distances in Å follow each position.
Fractional coordinates of all 10 atoms:
Ho (0.0000, 0.0000, 0.0000)  8 Tm 3.48, 4 Ho 3.53
Tm (0.5000, 0.5000, 0.1134)  4 In 3.24, 4 Ho 3.48, 4 Tm 3.53
Tm (0.5000, 0.5000, 0.3062)  8 In 3.24-3.25, 4 Tm 3.53
Tm (0.5000, 0.5000, 0.5000)  8 In 3.25, 4 Tm 3.53
Tm (0.5000, 0.5000, 0.6938)  8 In 3.24-3.25, 4 Tm 3.53
Tm (0.5000, 0.5000, 0.8866)  4 In 3.24, 4 Ho 3.48, 4 Tm 3.53
In (0.0000, 0.0000, 0.2100)  8 Tm 3.24, 4 In 3.53
In (0.0000, 0.0000, 0.4032)  8 Tm 3.25, 4 In 3.53
In (0.0000, 0.0000, 0.5968)  8 Tm 3.25, 4 In 3.53
In (0.0000, 0.0000, 0.7900)  8 Tm 3.24, 4 In 3.53

Space-group type: P4/mmm
Density (g cm⁻³): 9.13
Energy of formation from the pure elements (meV/atom): -353


4.
YRuAu2: relaxed, PBE-GGA.

Unit cell a=6.7667 b=6.7667 c=6.7667 alpha=90.00 beta=90.00 gamma=90.00
Closest atoms and distances in Å follow each position.
Fractional coordinates of all 16 atoms:
Y (0.0000, 0.0000, 0.0000)  8 Au 2.93
Y (0.0000, 0.5000, 0.5000)  8 Au 2.93
Y (0.5000, 0.0000, 0.5000)  8 Au 2.93
Y (0.5000, 0.5000, 0.0000)  8 Au 2.93
Ru (0.0000, 0.0000, 0.5000)  8 Au 2.93
Ru (0.0000, 0.5000, 0.0000)  8 Au 2.93
Ru (0.5000, 0.0000, 0.0000)  8 Au 2.93
Ru (0.5000, 0.5000, 0.5000)  8 Au 2.93
Au (0.2500, 0.2500, 0.2500)  4 Ru 2.93, 4 Y 2.93
Au (0.2500, 0.2500, 0.7500)  4 Y 2.93, 4 Ru 2.93
Au (0.2500, 0.7500, 0.2500)  4 Y 2.93, 4 Ru 2.93
Au (0.2500, 0.7500, 0.7500)  4 Ru 2.93, 4 Y 2.93
Au (0.7500, 0.2500, 0.2500)  4 Y 2.93, 4 Ru 2.93
Au (0.7500, 0.2500, 0.7500)  4 Ru 2.93, 4 Y 2.93
Au (0.7500, 0.7500, 0.2500)  4 Ru 2.93, 4 Y 2.93
Au (0.7500, 0.7500, 0.7500)  4 Ru 2.93, 4 Y 2.93

Space-group type: Fm-3m
Density (g cm⁻³): 12.52
Energy of formation from the pure elements (meV/atom): -195


5.
Ba2NaSiRh: relaxed, PBE-GGA.

Unit cell a=6.2082 b=6.2082 c=4.6595 alpha=90.00 beta=90.00 gamma=90.00
Closest atoms and distances in Å follow each position.
Fractional coordinates of all 5 atoms:
Ba (0.0000, 0.5000, 0.0000)  2 Rh 3.10
Ba (0.5000, 0.0000, 0.0000)  2 Rh 3.10
Na (0.0000, 0.0000, 0.5000)  8 Ba 3.88
Si (0.5000, 0.5000, 0.5000)  2 Rh 2.33
Rh (0.5000, 0.5000, 0.0000)  2 Si 2.33

Space-group type: P4/mmm
Density (g cm⁻³): 3.96
Formation energy (no corrections) (kJ/mol of formula units): -115


6.
NaLaRu2W: relaxed, PBE-GGA.

Unit cell a=4.7846 b=4.7846 c=4.9832 alpha=90.00 beta=90.00 gamma=90.00
Closest atoms and distances in Å follow each position.
Fractional coordinates of all 5 atoms:
Na (0.0000, 0.0000, 0.0000)  2 La 2.49
La (0.0000, 0.0000, 0.5000)  4 Ru 2.39, 2 Na 2.49
Ru (0.0000, 0.5000, 0.5000)  2 La 2.39
Ru (0.5000, 0.0000, 0.5000)  2 La 2.39
W (0.5000, 0.5000, 0.0000)  4 Na 3.38, 8 Ru 3.45

Space-group type: P4/mmm
Density (g cm⁻³): 7.97
Energy of formation from the pure elements (meV/atom): 2058


7.
CeTmTh: relaxed, PBE-GGA.

Unit cell a=6.0546 b=3.4931 c=16.9796 alpha=90.00 beta=90.08 gamma=90.00
Closest atoms and distances in Å follow each position.
Fractional coordinates of all 12 atoms:
Ce (0.1673, 0.0000, 0.0808)  9 Ce 3.40-3.50, 3 Th 3.45
Ce (0.3327, 0.5000, 0.9192)  9 Ce 3.40-3.50, 3 Th 3.45
Ce (0.6673, 0.5000, 0.0808)  9 Ce 3.40-3.50, 3 Th 3.45
Ce (0.8327, 0.0000, 0.9192)  9 Ce 3.40-3.50, 3 Th 3.45
Tm (0.1660, 0.0000, 0.5847)  9 Tm 3.49-3.52, 3 Th 3.51
Tm (0.3340, 0.5000, 0.4153)  9 Tm 3.49-3.52, 3 Th 3.51
Tm (0.6660, 0.5000, 0.5847)  9 Tm 3.49-3.52, 3 Th 3.51
Tm (0.8340, 0.0000, 0.4153)  9 Tm 3.49-3.52, 3 Th 3.51
Th (0.0011, 0.5000, 0.2459)  3 Ce 3.45, 6 Th 3.49-3.50, 3 Tm 3.51
Th (0.4989, 0.0000, 0.7541)  3 Ce 3.45, 6 Th 3.49-3.50, 3 Tm 3.51
Th (0.5011, 0.0000, 0.2459)  3 Ce 3.45, 6 Th 3.49-3.50, 3 Tm 3.51
Th (0.9989, 0.5000, 0.7541)  3 Ce 3.45, 6 Th 3.49-3.50, 3 Tm 3.51

Space-group type: C2/m
Density (g cm⁻³): 10.01
Energy of formation from the pure elements (meV/atom): 22


8.
Pa2HW: relaxed, PBE-GGA.

Unit cell a=3.0376 b=3.0376 c=26.4023 alpha=90.00 beta=90.00 gamma=120.00
Closest atoms and distances in Å follow each position.
Fractional coordinates of all 12 atoms:
Pa (0.0000, 0.0000, 0.1053)  3 H 2.39
Pa (0.0000, 0.0000, 0.8947)  3 H 2.39
Pa (0.3333, 0.6667, 0.5613)  3 H 2.39
Pa (0.3333, 0.6667, 0.7720)  3 H 2.39
Pa (0.6667, 0.3333, 0.2280)  3 H 2.39
Pa (0.6667, 0.3333, 0.4387)  3 H 2.39
H (0.0000, 0.0000, 0.5000)  6 Pa 2.39
H (0.3333, 0.6667, 0.1667)  6 Pa 2.39
H (0.6667, 0.3333, 0.8333)  6 Pa 2.39
W (0.0000, 0.0000, 0.0000)  2 Pa 2.78, 6 W 3.04
W (0.3333, 0.6667, 0.6667)  2 Pa 2.78, 6 W 3.04
W (0.6667, 0.3333, 0.3333)  2 Pa 2.78, 6 W 3.04

Space-group type: R-3m
Density (g cm⁻³): 15.27
Total energy (eV/atom): -8.34


9.
Cs2Cd2Hg: relaxed, PBE-GGA.

Unit cell a=7.4316 b=7.4316 c=9.5118 alpha=100.31 beta=100.31 gamma=61.25
Closest atoms and distances in Å follow each position.
Fractional coordinates of all 10 atoms:
Cs (0.0535, 0.2575, 0.1542)  6 Cd 3.93-4.11, 3 Hg 4.19-4.39
Cs (0.2575, 0.0535, 0.6542)  6 Cd 3.93-4.11, 3 Hg 4.19-4.39
Cs (0.7425, 0.9465, 0.3458)  6 Cd 3.93-4.11, 3 Hg 4.19-4.39
Cs (0.9465, 0.7425, 0.8458)  6 Cd 3.93-4.11, 3 Hg 4.19-4.39
Cd (0.2829, 0.4995, 0.5034)  2 Hg 3.04-3.12, 1 Cd 3.24
Cd (0.4995, 0.2829, 0.0034)  2 Hg 3.04-3.12, 1 Cd 3.24
Cd (0.5005, 0.7171, 0.9966)  2 Hg 3.04-3.12, 1 Cd 3.24
Cd (0.7171, 0.5005, 0.4966)  2 Hg 3.04-3.12, 1 Cd 3.24
Hg (0.3561, 0.6439, 0.2500)  4 Cd 3.04-3.12
Hg (0.6439, 0.3561, 0.7500)  4 Cd 3.04-3.12

Space-group type: C2/c
Density (g cm⁻³): 5.10
Energy of formation from the pure elements (meV/atom): -103


10.
HfPPtS2: relaxed, PBE-GGA.

Unit cell a=4.7985 b=4.7985 c=5.0901 alpha=90.00 beta=90.00 gamma=90.00
Closest atoms and distances in Å follow each position.
Fractional coordinates of all 5 atoms:
Hf (0.0000, 0.0000, 0.0000)  4 S 2.40, 2 P 2.55
P (0.0000, 0.0000, 0.5000)  2 Hf 2.55
Pt (0.5000, 0.5000, 0.5000)  4 P 3.39, 8 S 3.50
S (0.0000, 0.5000, 0.0000)  2 Hf 2.40
S (0.5000, 0.0000, 0.0000)  2 Hf 2.40

Space-group type: P4/mmm
Density (g cm⁻³): 6.64
Formation energy (no corrections) (kJ/mol of formula units): 190


11.
PRh3F: relaxed, PBE-GGA.

Unit cell a=4.4056 b=4.4056 c=4.4056 alpha=90.00 beta=90.00 gamma=90.00
Closest atoms and distances in Å follow each position.
Fractional coordinates of all 5 atoms:
P (0.0000, 0.0000, 0.0000)  6 Rh 2.20
Rh (0.0000, 0.0000, 0.5000)  2 P 2.20
Rh (0.0000, 0.5000, 0.0000)  2 P 2.20
Rh (0.5000, 0.0000, 0.0000)  2 P 2.20
F (0.5000, 0.5000, 0.5000)  12 Rh 3.12

Space-group type: Pm-3m
Density (g cm⁻³): 6.97
Formation energy (no corrections) (kJ/mol of formula units): 97


12.
NaBeSbPt2: relaxed, PBE-GGA.

Unit cell a=4.3552 b=4.3552 c=4.6314 alpha=90.00 beta=90.00 gamma=90.00
Closest atoms and distances in Å follow each position.
Fractional coordinates of all 5 atoms:
Na (0.0000, 0.0000, 0.0000)  2 Be 2.32
Be (0.0000, 0.0000, 0.5000)  4 Pt 2.18, 2 Na 2.32
Sb (0.5000, 0.5000, 0.0000)  4 Na 3.08, 8 Pt 3.18
Pt (0.0000, 0.5000, 0.5000)  2 Be 2.18
Pt (0.5000, 0.0000, 0.5000)  2 Be 2.18

Space-group type: P4/mmm
Density (g cm⁻³): 10.28
Formation energy (no corrections) (kJ/mol of formula units): -19